First-principles (PBE with a Hubbard U) data for a relaxed BaUNiO6 crystal, as listed in Alexandria via LeMat-Bulk.

Lattice parameters (Å, degrees): 5.279 5.279 10.195 90.00 90.00 90.00
Space group P4_2nm (No. 102)
Inequivalent atoms, fractional coordinates:
Ba 0.000 0.000 0.000 (multiplicity 2)
U 0.000 0.000 0.657 (multiplicity 2)
Ni 0.000 0.000 0.337 (multiplicity 2)
O 0.162 0.162 0.483 (multiplicity 4)
O 0.242 0.242 0.186 (multiplicity 4)
O 0.249 0.751 0.274 (multiplicity 4)

Total magnetic moment   7.93 Bohr magnetons per cell
DFT total energy   -7.011 eV per atom